Entry 1:
RbTlSnS2 | PBE | relaxed

Cell and atoms, written as POSCAR:
```
RbTlSnS2
1.0
11.9609 -2.0674 0.0000
11.9609 2.0674 0.0000
-0.3442 0.0000 8.5188
Rb Tl Sn S
2 2 2 4
Direct
0.0776 0.0776 0.2899
0.9224 0.9224 0.7101
0.1956 0.1956 0.8799
0.8044 0.8044 0.1201
0.4454 0.4454 0.1632
0.5546 0.5546 0.8368
0.0893 0.0893 0.6727
0.3671 0.3671 0.9581
0.6329 0.6329 0.0419
0.9107 0.9107 0.3273
```

Properties
As for the energy relative to the elements, uncorrected: -0.61 eV/atom. For the density, the calculation gives 3.726 g cm⁻³.

Entry 2:
Lu2MnIr | PBE | relaxed

Cell and atoms, written as POSCAR:
```
Lu2MnIr
1.0
4.8295 0.0000 0.0000
0.0000 4.8295 0.0000
0.0000 0.0000 3.3162
Lu Mn Ir
2 1 1
Direct
0.0000 0.5000 0.0000
0.5000 0.0000 0.0000
0.0000 0.0000 0.5000
0.5000 0.5000 0.5000
```

Properties
The calculation puts the calculated formation energy at -0.428 eV/atom. For the density, the calculation gives 12.819 g cm⁻³.

Entry 3:
KRb2Na | PBE | relaxed

Cell and atoms, written as POSCAR:
```
KRb2Na
1.0
4.5774 0.0000 0.0000
0.0000 7.5923 0.0000
0.0000 0.0000 17.3653
K Rb Na
2 4 2
Direct
0.0000 0.0000 0.0000
0.5000 0.5000 0.5000
0.0000 0.0000 0.2771
0.0000 0.0000 0.7229
0.5000 0.5000 0.2229
0.5000 0.5000 0.7771
0.0000 0.0000 0.5000
0.5000 0.5000 0.0000
```

Properties
The calculation puts the calculated formation energy at 0.099 eV/atom. Its energy relative to the lowest polymorph listed for this composition is 0.077 eV per atom. For the density, the calculation gives 1.282 g cm⁻³.

Entry 4:
MgTlIn2Ga | PBE | relaxed

Cell and atoms, written as POSCAR:
```
MgTlIn2Ga
1.0
5.3744 0.0000 0.0000
0.0000 5.3744 0.0000
0.0000 0.0000 5.4615
Mg Tl In Ga
1 1 2 1
Direct
0.0000 0.0000 0.0000
0.5000 0.5000 0.0000
0.0000 0.5000 0.5000
0.5000 0.0000 0.5000
0.5000 0.5000 0.5000
```

Properties
The calculation puts the calculated formation energy at 0.293 eV/atom. For the density, the calculation gives 5.558 g cm⁻³.

Entry 5:
LuCdRuPt | PBE | relaxed

Cell and atoms, written as POSCAR:
```
LuCdRuPt
1.0
6.6123 0.0000 0.0000
0.0000 6.6123 0.0000
0.0000 0.0000 6.6123
Lu Cd Ru Pt
4 4 4 4
Direct
0.0000 0.0000 0.0000
0.0000 0.5000 0.5000
0.5000 0.0000 0.5000
0.5000 0.5000 0.0000
0.0000 0.0000 0.5000
0.0000 0.5000 0.0000
0.5000 0.0000 0.0000
0.5000 0.5000 0.5000
0.2500 0.2500 0.7500
0.2500 0.7500 0.2500
0.7500 0.2500 0.2500
0.7500 0.7500 0.7500
0.2500 0.2500 0.2500
0.2500 0.7500 0.7500
0.7500 0.2500 0.7500
0.7500 0.7500 0.2500
```

Properties
The calculation puts the calculated formation energy at -0.452 eV/atom. For the density, the calculation gives 13.407 g cm⁻³.

Entry 6:
TaCd2Ru | PBE | relaxed

Cell and atoms, written as POSCAR:
```
TaCd2Ru
1.0
2.8595 0.0000 0.0000
0.0000 4.8455 0.0000
-1.1939 0.0000 5.2049
Ta Cd Ru
1 2 1
Direct
0.0000 0.0000 0.0000
0.3204 0.5000 0.7401
0.6796 0.5000 0.2599
0.5000 0.0000 0.5000
```

Properties
The calculation puts the calculated formation energy at 0.320 eV/atom. Its energy relative to the lowest polymorph listed for this composition is 0.307 eV per atom. For the density, the calculation gives 11.670 g cm⁻³.

Entry 7:
LiYTe2O8 | PBE | relaxed

Cell and atoms, written as POSCAR:
```
LiYTe2O8
1.0
-3.6670 3.6670 3.3237
3.6670 -3.6670 3.3237
3.6670 3.6670 -3.3237
Li Y Te O
1 1 2 8
Direct
0.0000 0.0000 0.0000
0.2500 0.7500 0.5000
0.5000 0.5000 0.0000
0.7500 0.2500 0.5000
0.3253 0.1320 0.8067
0.3253 0.5185 0.1933
0.3761 0.0644 0.3117
0.4815 0.6747 0.8067
0.7527 0.0644 0.6883
0.8680 0.6747 0.1933
0.9356 0.2473 0.3117
0.9356 0.6239 0.6883
```

Properties
As for the energy relative to the elements, uncorrected: -1.52 eV/atom. For the density, the calculation gives 4.450 g cm⁻³.

Entry 8:
PPb2W | PBE | relaxed

Cell and atoms, written as POSCAR:
```
PPb2W
1.0
6.4476 0.0000 0.0000
0.0000 6.4476 0.0000
0.0000 0.0000 12.2725
P Pb W
4 8 4
Direct
0.0000 0.0000 0.0000
0.0000 0.5000 0.2500
0.5000 0.0000 0.7500
0.5000 0.5000 0.5000
0.2428 0.2500 0.1250
0.2500 0.7428 0.3750
0.2500 0.7572 0.8750
0.2572 0.2500 0.6250
0.7428 0.7500 0.6250
0.7500 0.2428 0.8750
0.7500 0.2572 0.3750
0.7572 0.7500 0.1250
0.0000 0.0000 0.5000
0.0000 0.5000 0.7500
0.5000 0.0000 0.2500
0.5000 0.5000 0.0000
```

Properties
The calculation puts the calculated formation energy at 1.380 eV/atom. For the density, the calculation gives 8.192 g cm⁻³.

Entry 9:
ScGaHgAu | PBE | relaxed

Cell and atoms, written as POSCAR:
```
ScGaHgAu
1.0
6.7847 0.0000 0.0000
0.0000 6.7847 0.0000
0.0000 0.0000 6.7847
Sc Ga Hg Au
4 4 4 4
Direct
0.0000 0.0000 0.0000
0.0000 0.5000 0.5000
0.5000 0.0000 0.5000
0.5000 0.5000 0.0000
0.0000 0.0000 0.5000
0.0000 0.5000 0.0000
0.5000 0.0000 0.0000
0.5000 0.5000 0.5000
0.2500 0.2500 0.2500
0.2500 0.7500 0.7500
0.7500 0.2500 0.7500
0.7500 0.7500 0.2500
0.2500 0.2500 0.7500
0.2500 0.7500 0.2500
0.7500 0.2500 0.2500
0.7500 0.7500 0.7500
```

Properties
The calculation puts the calculated formation energy at -0.404 eV/atom. For the density, the calculation gives 10.894 g cm⁻³.

Entry 10:
SiBiTe3 | PBE | relaxed

Cell and atoms, written as POSCAR:
```
SiBiTe3
1.0
5.8637 0.0000 0.0000
0.0000 5.8637 0.0000
0.0000 0.0000 5.8637
Si Bi Te
1 1 3
Direct
0.0000 0.0000 0.0000
0.5000 0.5000 0.5000
0.0000 0.5000 0.5000
0.5000 0.0000 0.5000
0.5000 0.5000 0.0000
```

Properties
Its energy relative to the lowest polymorph listed for this composition is 0.739 eV per atom. As for the energy relative to the elements, uncorrected: 0.96 eV/atom. For the density, the calculation gives 5.105 g cm⁻³.

Entry 11:
Mg2InSbN4 | PBE | relaxed

Cell and atoms, written as POSCAR:
```
Mg2InSbN4
1.0
6.8951 0.0000 0.0000
0.0000 6.0061 0.0000
0.0000 0.0000 5.5462
Mg In Sb N
4 2 2 8
Direct
0.2491 0.1672 0.0000
0.2509 0.8328 0.5000
0.7491 0.8328 0.5000
0.7509 0.1672 0.0000
0.0000 0.3359 0.5010
0.5000 0.6641 0.0010
0.0000 0.6698 0.0045
0.5000 0.3302 0.5045
0.0000 0.3479 0.8974
0.0000 0.6785 0.3685
0.2360 0.8347 0.8817
0.2640 0.1653 0.3817
0.5000 0.3215 0.8685
0.5000 0.6521 0.3974
0.7360 0.1653 0.3817
0.7640 0.8347 0.8817
```

Properties
As for the energy relative to the elements, uncorrected: -0.29 eV/atom. For the density, the calculation gives 4.934 g cm⁻³.

Entry 12:
YIr2Pt | PBE | relaxed

Cell and atoms, written as POSCAR:
```
YIr2Pt
1.0
2.9239 0.0000 0.0000
-1.4619 2.5321 0.0000
0.0000 0.0000 27.8918
Y Ir Pt
3 6 3
Direct
0.0000 0.0000 0.0000
0.3333 0.6667 0.6667
0.6667 0.3333 0.3333
0.0000 0.0000 0.2451
0.0000 0.0000 0.7549
0.3333 0.6667 0.4216
0.3333 0.6667 0.9118
0.6667 0.3333 0.0882
0.6667 0.3333 0.5784
0.0000 0.0000 0.5000
0.3333 0.6667 0.1667
0.6667 0.3333 0.8333
```

Properties
The calculation puts the calculated formation energy at 0.212 eV/atom. Its energy relative to the lowest polymorph listed for this composition is 0.762 eV per atom. For the density, the calculation gives 16.125 g cm⁻³.

Look up the density of the sixth one. 11.670 g cm⁻³